w:
GGA-PBE ErThGaTc, relaxed; space-group type = F-43m; spin magnetization = 0.00 μB per atom
1.0
0.0000 3.5582 3.5582
3.5582 0.0000 3.5582
3.5582 3.5582 0.0000
Er Th Ga Tc
1 1 1 1
Direct
0.0000 0.0000 0.0000
0.5000 0.5000 0.5000
0.2500 0.2500 0.2500
0.7500 0.7500 0.7500

x:
GGA-PBE ErThGaTc, relaxed; space-group type = Amm2; spin magnetization = 0.00 μB per atom
1.0
3.9678 0.0000 0.0000
0.0000 2.0409 5.7259
0.0000 -2.0409 5.7259
Er Th Ga Tc
1 1 1 1
Direct
0.0000 0.0000 0.0000
0.5000 0.7226 0.7226
0.5000 0.4277 0.4277
0.0000 0.2711 0.2711

Stability comparison, relative energies in eV/atom: w 0.147; x 0.000